Computed, not measured: a geometry-optimized Mn2NiTe structure at the PBE-GGA level of DFT.

abc: 3.7635 3.7635 4.0508
angles: 90.00 90.00 90.00
Atoms (fractional coordinates):
Mn 0.0000 0.5000 0.0000
Mn 0.5000 0.0000 0.0000
Ni 0.0000 0.0000 0.5000
Te 0.5000 0.5000 0.5000

Formation energy from raw total energies ... 0.1458 eV/atom
N(E_F) ... 3.397 states/eV/f.u.